P:
Material: La4PmTh
Method: DFT, PBE
State: optimized geometry

Geometry as POSCAR:
```
La4PmTh
1.0
-3.4056 -0.4721 0.7968
0.1885 2.1657 -5.7270
1.9083 -11.4990 1.3431
La Pm Th
4 1 1
direct
0.3361 0.6721 0.6619
0.1551 0.3101 0.8438
0.6639 0.3279 0.3381
0.8449 0.6899 0.1562
0.0000 0.0000 0.5000
0.5000 0.0000 0.0000
```

Properties
Spin magnetization: 0.000 μB per cell
Fermi-level density of states: 11.48 states/eV/f.u.

***

Q:
Material: La4PmTh
Method: DFT, PBE
State: optimized geometry

Geometry as POSCAR:
```
La4PmTh
1.0
6.6287 -0.3795 0.0000
-2.8395 6.0018 0.0000
0.0000 0.0000 11.0129
La Pm Th
8 2 2
direct
0.3538 0.1646 0.2500
0.6462 0.8354 0.7500
0.8354 0.6462 0.2500
0.1646 0.3538 0.7500
0.3341 0.6659 0.0634
0.6659 0.3341 0.9366
0.6659 0.3341 0.5634
0.3341 0.6659 0.4366
0.1647 0.8353 0.7500
0.8353 0.1647 0.2500
0.0000 0.0000 0.5000
0.0000 0.0000 0.0000
```

Properties
Spin magnetization: 0.000 μB per cell
Fermi-level density of states: 12.95 states/eV/f.u.

***

Which of them is most stable, and which least? Most stable: P; least stable: Q.

***

P:
Material: LaPmThZn
Method: DFT, PBE
State: optimized geometry

Geometry as POSCAR:
```
LaPmThZn
1.0
-1.4225 -5.3057 0.0490
0.3173 -2.9714 -4.6094
3.8540 -3.8817 -0.5058
Pm La Zn Th
1 1 1 1
direct
0.5000 0.5000 0.5000
0.2500 0.2500 0.2500
0.0000 0.0000 0.0000
0.7500 0.7500 0.7500
```

Properties
Spin magnetization: 0.000 μB per cell
Fermi-level density of states: 7.13 states/eV/f.u.

***

Q:
Material: LaPmThZn
Method: DFT, PBE
State: optimized geometry

Geometry as POSCAR:
```
LaPmThZn
1.0
-1.9179 2.9057 -1.0961
-2.9246 -2.1232 -0.5112
-2.5240 1.4731 8.3213
Th Pm Zn La
1 1 1 1
direct
0.5000 0.5000 0.8169
0.0000 0.0000 0.5386
0.5000 0.5000 0.3290
0.0000 0.0000 0.1001
```

Properties
Spin magnetization: 0.000 μB per cell
Fermi-level density of states: 4.48 states/eV/f.u.

***

Which of them is most stable, and which least? Most stable: Q; least stable: P.

***

P:
Material: La3Pm3Tl2
Method: DFT, PBE
State: optimized geometry

Geometry as POSCAR:
```
La3Pm3Tl2
1.0
-4.0260 -2.8761 -0.2559
2.9085 -4.0085 -0.7051
0.4113 -1.4706 10.0573
Pm Tl La
3 2 3
direct
0.5000 0.0000 0.0000
0.5000 0.5000 0.2480
0.5000 0.5000 0.7520
0.0000 0.0000 0.2469
0.0000 0.0000 0.7531
0.0000 0.5000 0.0000
0.5000 0.0000 0.5000
0.0000 0.5000 0.5000
```

Properties
Spin magnetization: 0.001 μB per cell
Fermi-level density of states: 13.07 states/eV/f.u.

***

Q:
Material: La3Pm3Tl2
Method: DFT, PBE
State: optimized geometry

Geometry as POSCAR:
```
La3Pm3Tl2
1.0
-0.8300 -4.5217 -2.8809
6.5760 1.1588 1.3952
-1.3978 -8.3699 13.5399
Pm Tl La
6 4 6
direct
0.5637 0.1273 0.7500
0.6324 0.2649 0.4660
0.6324 0.2649 0.0340
0.4363 0.8727 0.2500
0.3676 0.7351 0.9660
0.3676 0.7351 0.5340
0.7759 0.5517 0.6300
0.7759 0.5517 0.8700
0.2241 0.4483 0.1300
0.2241 0.4483 0.3700
0.0437 0.0874 0.8898
0.2852 0.5703 0.7500
0.9563 0.9126 0.3898
0.9563 0.9126 0.1102
0.0437 0.0874 0.6102
0.7148 0.4297 0.2500
```

Properties
Spin magnetization: 0.001 μB per cell
Fermi-level density of states: 10.03 states/eV/f.u.

***

Which of them is most stable, and which least? Most stable: P; least stable: Q.

***

P:
Material: La2Pm5Tl4
Method: DFT, PBE
State: optimized geometry

Geometry as POSCAR:
```
La2Pm5Tl4
1.0
3.5642 0.0000 0.0000
0.0000 8.8302 -0.0280
0.0000 1.1751 10.7615
Tl Pm La
4 5 2
direct
0.5000 0.2547 0.5813
0.5000 0.2009 0.1141
0.5000 0.7453 0.4187
0.5000 0.7991 0.8859
0.0000 0.8378 0.1420
0.0000 0.4605 0.3327
0.0000 0.1622 0.8580
0.0000 0.5395 0.6673
0.0000 0.5000 0.0000
0.0000 0.9183 0.6354
0.0000 0.0817 0.3646
```

Properties
Spin magnetization: 0.009 μB per cell
Fermi-level density of states: 13.42 states/eV/f.u.

***

Q:
Material: La2Pm5Tl4
Method: DFT, PBE
State: optimized geometry

Geometry as POSCAR:
```
La2Pm5Tl4
1.0
-1.6165 3.1254 1.3275
-1.7236 1.3180 -5.2021
-11.3469 -11.5935 8.1509
Pm Tl La
5 4 2
direct
0.2975 0.5436 0.5950
0.2075 0.9704 0.4151
0.7925 0.0296 0.5849
0.5000 0.0000 0.0000
0.7025 0.4564 0.4050
0.3719 0.1925 0.7437
0.0465 0.6150 0.0930
0.9535 0.3850 0.9070
0.6281 0.8075 0.2563
0.1041 0.2511 0.2081
0.8959 0.7489 0.7919
```

Properties
Spin magnetization: 0.002 μB per cell
Fermi-level density of states: 12.01 states/eV/f.u.

***

Which of them is most stable, and which least? Most stable: P; least stable: Q.